(1)
# KNa3Rh (PBE, optimized geometry)
data_KNa3Rh
_cell_length_a 5.568
_cell_length_b 5.568
_cell_length_c 5.568
_cell_angle_alpha 90.00
_cell_angle_beta 90.00
_cell_angle_gamma 90.00
_symmetry_space_group_name_H-M 'P m -3 m'
_symmetry_Int_Tables_number 221
_symmetry_space_group_name_Hall '-P 4 2 3'
loop_
_atom_site_label
_atom_site_type_symbol
_atom_site_fract_x
_atom_site_fract_y
_atom_site_fract_z
K1 K 0.000 0.000 0.000
Na1 Na 0.000 0.500 0.500
Rh1 Rh 0.500 0.500 0.500
# Total magnetic moment (μB per formula unit): 0.000

=====

(2)
# KNaRh2 (PBE, optimized geometry)
data_KNaRh2
_cell_length_a 4.168
_cell_length_b 4.168
_cell_length_c 21.115
_cell_angle_alpha 90.00
_cell_angle_beta 90.00
_cell_angle_gamma 90.00
_symmetry_space_group_name_H-M 'I -4 2 d'
_symmetry_Int_Tables_number 122
_symmetry_space_group_name_Hall 'I -4 2bw'
loop_
_atom_site_label
_atom_site_type_symbol
_atom_site_fract_x
_atom_site_fract_y
_atom_site_fract_z
K1 K 0.000 0.000 0.000
Na1 Na 0.000 0.000 0.500
Rh1 Rh 0.155 0.250 0.625
# Total magnetic moment (μB per formula unit): 0.937

=====

(3)
# KNa2Rh (PBE, optimized geometry)
data_KNa2Rh
_cell_length_a 7.420
_cell_length_b 7.420
_cell_length_c 7.420
_cell_angle_alpha 90.00
_cell_angle_beta 90.00
_cell_angle_gamma 90.00
_symmetry_space_group_name_H-M 'F m -3 m'
_symmetry_Int_Tables_number 225
_symmetry_space_group_name_Hall '-F 4 2 3'
loop_
_atom_site_label
_atom_site_type_symbol
_atom_site_fract_x
_atom_site_fract_y
_atom_site_fract_z
K1 K 0.000 0.000 0.000
Na1 Na 0.250 0.250 0.250
Rh1 Rh 0.000 0.000 0.500
# Total magnetic moment (μB per formula unit): 0.000

=====

| no. | E_form (eV per atom) | energy relative to the lowest polymorph listed for this composition (kcal/mol of atoms) |
| --- | --- | --- |
| 1 | 0.339 | 0.00 |
| 2 | 0.722 | 0.00 |
| 3 | 0.440 | 0.00 |